An optimized crystal structure of SiPCO2, computed with PBE-GGA.

Cell: 3.2171 3.2171 6.0743 Å, 90.00 90.00 90.00°
With the nearest neighbours (Å) after each atom.
Fractional coordinates of all 5 atoms:
P 0.0000 0.0000 0.5000  4 C 2.27
Si 0.0000 0.0000 0.0000  4 O 1.61
C 0.5000 0.5000 0.5000  4 P 2.27
O 0.0000 0.5000 0.0000  2 Si 1.61
O 0.5000 0.0000 0.0000  2 Si 1.61

Calculated values
formation energy from raw total energies	-0.06	eV per atom
energy	-6.055	eV per atom
energy above the lowest structure with this stoichiometry	0.000	eV/atom
SG	P4/mmm

***

An optimized crystal structure of SrLaHgRh, computed with PBE-GGA.

Cell: 5.3249 5.3249 5.3249 Å, 60.00 60.00 60.00°
With the nearest neighbours (Å) after each atom.
Fractional coordinates of all 4 atoms:
Sr 0.2500 0.2500 0.2500  4 Hg 3.26, 4 Rh 3.26
Rh 0.0000 0.0000 0.0000  4 La 3.26, 4 Sr 3.26
Hg 0.5000 0.5000 0.5000  4 La 3.26, 4 Sr 3.26
La 0.7500 0.7500 0.7500  4 Hg 3.26, 4 Rh 3.26

Calculated values
energy	-3.972	eV per atom
E_form	-406	meV/atom
SG	F-43m

***

An optimized crystal structure of Li7Al2Ag3, computed with PBE-GGA.

Cell: 2.8389 4.5148 15.8988 Å, 98.14 90.00 90.00°
With the nearest neighbours (Å) after each atom.
Fractional coordinates of all 12 atoms:
Li 0.5000 0.9009 0.7998  2 Al 2.73, 6 Li 2.82-2.84, 2 Ag 2.99
Li 0.5000 0.0991 0.2002  2 Al 2.73, 6 Li 2.82-2.84, 2 Ag 2.99
Li 0.5000 0.7324 0.4645  2 Li 2.52, 1 Al 2.62
Li 0.5000 0.2676 0.5355  2 Li 2.52, 1 Al 2.62
Li 0.0000 0.0000 0.0000  4 Ag 2.67, 2 Li 2.84
Li 0.0000 0.4296 0.8575  2 Ag 2.65, 6 Li 2.82-2.84, 2 Al 2.83
Li 0.0000 0.5704 0.1425  2 Ag 2.65, 6 Li 2.82-2.84, 2 Al 2.83
Al 0.5000 0.6481 0.2980  5 Li 2.62-2.83, 2 Al 2.84, 4 Ag 2.88
Al 0.5000 0.3519 0.7020  5 Li 2.62-2.83, 2 Al 2.84, 4 Ag 2.88
Ag 0.0000 0.8172 0.6327  2 Ag 2.84, 4 Al 2.88, 8 Li 2.99-3.08
Ag 0.0000 0.1829 0.3673  2 Ag 2.84, 4 Al 2.88, 8 Li 2.99-3.08
Ag 0.5000 0.5000 0.0000  8 Li 2.65-2.67, 2 Ag 2.84

Calculated values
energy	-2.570	eV per atom
E_form	-117	meV/atom
SG	P2/m

***

An optimized crystal structure of Tb3Dy6Er2Th, computed with PBE-GGA.

Cell: 6.1383 6.1383 11.7632 Å, 94.99 94.99 119.96°
With the nearest neighbours (Å) after each atom.
Fractional coordinates of all 12 atoms:
Tb 0.1672 0.8328 0.5000  6 Tb 3.54-3.55, 6 Dy 3.56
Tb 0.8328 0.1672 0.5000  6 Tb 3.54-3.55, 6 Dy 3.56
Tb 0.5000 0.5000 0.5000  6 Tb 3.54-3.55, 6 Dy 3.55-3.57
Dy 0.9162 0.5858 0.7513  6 Dy 3.51-3.56, 1 Th 3.52, 2 Er 3.54, 3 Tb 3.55-3.56
Dy 0.7534 0.7534 0.2485  6 Dy 3.51-3.56, 1 Th 3.52, 2 Er 3.54, 3 Tb 3.56-3.57
Dy 0.0838 0.4142 0.2487  6 Dy 3.51-3.56, 1 Th 3.52, 2 Er 3.54, 3 Tb 3.55-3.56
Dy 0.5858 0.9162 0.7513  6 Dy 3.51-3.56, 1 Th 3.52, 2 Er 3.54, 3 Tb 3.55-3.56
Dy 0.2466 0.2466 0.7515  6 Dy 3.51-3.56, 1 Th 3.52, 2 Er 3.54, 3 Tb 3.56-3.57
Dy 0.4142 0.0838 0.2487  6 Dy 3.51-3.56, 1 Th 3.52, 2 Er 3.54, 3 Tb 3.55-3.56
Er 0.3333 0.6667 0.0000  6 Dy 3.54, 3 Th 3.54-3.55, 3 Er 3.54
Er 0.6667 0.3333 0.0000  6 Dy 3.54, 3 Th 3.54-3.55, 3 Er 3.54
Th 0.0000 0.0000 0.0000  6 Dy 3.52, 6 Er 3.54-3.55

Calculated values
energy	-4.816	eV per atom
E_form	22	meV/atom
SG	C2/m

***

An optimized crystal structure of Ce2NdDyTe5, computed with PBE-GGA.

Cell: 5.5178 5.5178 11.7938 Å, 90.00 90.00 90.00°
With the nearest neighbours (Å) after each atom.
Fractional coordinates of all 9 atoms:
Ce 0.5000 0.5000 0.3258  5 Te 3.44-3.84
Ce 0.5000 0.5000 0.6742  5 Te 3.44-3.84
Nd 0.0000 0.0000 0.0000  2 Te 2.94
Dy 0.0000 0.0000 0.5000  6 Te 2.76-2.96
Te 0.0000 0.5000 0.5000  2 Dy 2.76
Te 0.5000 0.0000 0.5000  2 Dy 2.76
Te 0.0000 0.0000 0.7509  1 Nd 2.94, 1 Dy 2.96
Te 0.0000 0.0000 0.2491  1 Nd 2.94, 1 Dy 2.96
Te 0.5000 0.5000 0.0000  2 Ce 3.84, 4 Nd 3.90

Calculated values
formation energy from raw total energies	-0.85	eV per atom
energy	-4.952	eV per atom
SG	P4/mmm

***

An optimized crystal structure of Mg2Mn3NiS8, computed with PBE-GGA.

Cell: 7.1843 7.1843 7.1843 Å, 59.92 59.92 59.92°
With the nearest neighbours (Å) after each atom.
Fractional coordinates of all 14 atoms:
Mg 0.1205 0.1205 0.1205  4 S 2.44
Mg 0.8795 0.8795 0.8795  4 S 2.44
Mn 0.5000 0.0000 0.5000  6 S 2.40-2.45
Mn 0.5000 0.5000 0.0000  6 S 2.40-2.45
Mn 0.0000 0.5000 0.5000  6 S 2.40-2.45
Ni 0.5000 0.5000 0.5000  6 S 2.40
S 0.2592 0.2592 0.2592  1 Mg 2.44, 3 Mn 2.45
S 0.7350 0.2951 0.7350  2 Mn 2.40, 1 Ni 2.40, 1 Mg 2.44
S 0.2951 0.7350 0.7350  2 Mn 2.40, 1 Ni 2.40, 1 Mg 2.44
S 0.7350 0.7350 0.2951  2 Mn 2.40, 1 Ni 2.40, 1 Mg 2.44
S 0.7049 0.2650 0.2650  2 Mn 2.40, 1 Ni 2.40, 1 Mg 2.44
S 0.2650 0.2650 0.7049  2 Mn 2.40, 1 Ni 2.40, 1 Mg 2.44
S 0.7408 0.7408 0.7408  1 Mg 2.44, 3 Mn 2.45
S 0.2650 0.7049 0.2650  2 Mn 2.40, 1 Ni 2.40, 1 Mg 2.44

Calculated values
formation energy from raw total energies	-0.69	eV per atom
energy	-5.650	eV per atom
SG	R-3m

***

An optimized crystal structure of AlCu4Ni, computed with PBE-GGA.

Cell: 4.1151 4.1151 4.9985 Å, 90.00 90.00 120.00°
With the nearest neighbours (Å) after each atom.
Fractional coordinates of all 6 atoms:
Al 0.0000 0.0000 0.0000  2 Ni 2.50, 12 Cu 2.70
Cu 0.3333 0.6667 0.2548  5 Cu 2.38-2.55
Cu 0.3333 0.6667 0.7452  5 Cu 2.38-2.55
Cu 0.6667 0.3333 0.2548  5 Cu 2.38-2.55
Cu 0.6667 0.3333 0.7452  5 Cu 2.38-2.55
Ni 0.0000 0.0000 0.5000  2 Al 2.50, 12 Cu 2.67

Calculated values
energy	-4.422	eV per atom
E_form	-104	meV/atom
energy above the lowest structure with this stoichiometry	0.000	eV/atom
SG	P6/mmm

***

An optimized crystal structure of Pr4TlAg2, computed with PBE-GGA.

Cell: 5.3672 5.3672 9.0755 Å, 72.80 72.80 60.00°
With the nearest neighbours (Å) after each atom.
Fractional coordinates of all 7 atoms:
Pr 0.8691 0.8691 0.3926  4 Ag 3.23-3.40, 1 Tl 3.35, 3 Pr 3.60
Pr 0.1309 0.1309 0.6074  4 Ag 3.23-3.40, 1 Tl 3.35, 3 Pr 3.60
Pr 0.6147 0.6147 0.1558  4 Ag 3.16-3.28, 3 Tl 3.37
Pr 0.3853 0.3853 0.8442  4 Ag 3.16-3.28, 3 Tl 3.37
Tl 0.0000 0.0000 0.0000  8 Pr 3.35-3.37, 6 Ag 3.66
Ag 0.7431 0.7431 0.7708  8 Pr 3.16-3.40
Ag 0.2569 0.2569 0.2292  8 Pr 3.16-3.40

Calculated values
energy	-4.044	eV per atom
E_form	-160	meV/atom
energy above the lowest structure with this stoichiometry	0.000	eV/atom
SG	R-3m

***

An optimized crystal structure of Sm8Ho4Sc, computed with PBE-GGA.

Cell: 10.9973 10.9973 7.7699 Å, 90.00 135.05 120.00°
With the nearest neighbours (Å) after each atom.
Fractional coordinates of all 13 atoms:
Sm 0.5127 0.7563 0.2690  4 Ho 3.27-3.40, 1 Sc 3.44
Sm 0.4873 0.2437 0.7310  4 Ho 3.27-3.40, 1 Sc 3.44
Sm 0.4873 0.2436 0.2429  4 Ho 3.28-3.39, 1 Sc 3.45
Sm 0.0007 0.2444 0.7571  4 Ho 3.28-3.39, 1 Sc 3.45
Sm 0.5127 0.7564 0.7571  4 Ho 3.28-3.39, 1 Sc 3.45
Sm 0.0007 0.7564 0.7571  4 Ho 3.28-3.39, 1 Sc 3.45
Sm 0.9993 0.2436 0.2429  4 Ho 3.28-3.39, 1 Sc 3.45
Sm 0.9993 0.7556 0.2429  4 Ho 3.28-3.39, 1 Sc 3.45
Ho 0.0000 0.0000 0.0000  8 Sm 3.27-3.28
Ho 0.0000 0.5000 0.0000  8 Sm 3.39-3.40
Ho 0.5000 0.5000 0.0000  8 Sm 3.39-3.40
Ho 0.5000 0.0000 0.0000  8 Sm 3.39-3.40
Sc 0.0000 0.5000 0.5000  8 Sm 3.44-3.45

Calculated values
energy	-4.314	eV per atom
E_form	485	meV/atom
SG	R-3m

***

An optimized crystal structure of K4Zr, computed with PBE-GGA.

Cell: 11.0302 11.0302 11.0302 Å, 152.35 152.35 39.50°
With the nearest neighbours (Å) after each atom.
Fractional coordinates of all 5 atoms:
K 0.2500 0.7500 0.5000  4 K 3.73
K 0.7500 0.2500 0.5000  4 K 3.73
K 0.4152 0.4152 0.0000  1 K 3.52
K 0.5848 0.5848 0.0000  1 K 3.52
Zr 0.0000 0.0000 0.0000  8 K 4.12

Calculated values
energy	-1.650	eV per atom
E_form	937	meV/atom
energy above the lowest structure with this stoichiometry	0.065	eV/atom
SG	I4/mmm